## TbTlI2 (PBE)

Data for a relaxed TbTlI2 crystal.

abc: 3.9575 3.9575 34.1176
angles: 90.00 90.00 120.00
Fractional positions:
Tb 0.0000 0.0000 0.0000
Tb 0.3333 0.6667 0.6667
Tb 0.6667 0.3333 0.3333
Tl 0.0000 0.0000 0.5000
Tl 0.3333 0.6667 0.1667
Tl 0.6667 0.3333 0.8333
I 0.0000 0.0000 0.3947
I 0.0000 0.0000 0.6053
I 0.3333 0.6667 0.0614
I 0.3333 0.6667 0.2720
I 0.6667 0.3333 0.7280
I 0.6667 0.3333 0.9386

Computed properties:
Raw formation energy   -304 kJ/mol of formula units